Entry 1:
Density functional theory data (PBE) for an optimized crystal structure of Pm2Pr3Dy2.

Computed properties:
The calculation puts the formation energy from the elements at 49 meV per atom. The polymorph energy (0 for the lowest one) comes out at 0.0 meV per atom. Its space-group type is P-1, No. 2. For the raw total energy, the calculation gives -32.7 eV per cell.

a = 3.596 Å, b = 5.672 Å, c = 12.283 Å
α = 103.32°, β = 98.41°, γ = 90.02°
Fractional coordinates of all 7 atoms:
Pm: 0.079 0.079 0.157
Pm: 0.921 0.921 0.843
Pr: 0.277 0.777 0.555
Pr: 0.500 0.500 0.000
Pr: 0.723 0.223 0.445
Dy: 0.356 0.356 0.714
Dy: 0.644 0.644 0.286

=====

Entry 2:
Density functional theory data (PBE) for an optimized crystal structure of Y2Mo.

Computed properties:
The calculation puts the formation energy from the elements at 378 meV per atom. The polymorph energy (0 for the lowest one) comes out at 231.1 meV per atom. Its space-group type is I4_1/amd, No. 141. For the raw total energy, the calculation gives -45.3 eV per cell.

a = 14.106 Å, b = 14.106 Å, c = 14.106 Å
α = 166.00°, β = 166.00°, γ = 19.85°
Fractional coordinates of all 6 atoms:
Y: 0.312 0.562 0.750
Y: 0.438 0.688 0.750
Y: 0.562 0.312 0.250
Y: 0.688 0.438 0.250
Mo: 0.125 0.875 0.250
Mo: 0.875 0.125 0.750

=====

Entry 3:
Density functional theory data (PBE) for an optimized crystal structure of NaYSn2Te4.

Computed properties:
The calculation puts the uncorrected formation energy at -0.748 eV/atom. Its space-group type is P2/m, No. 10. For the raw total energy, the calculation gives -34.3 eV per cell.

a = 7.773 Å, b = 4.484 Å, c = 7.852 Å
α = 90.00°, β = 108.61°, γ = 90.00°
Fractional coordinates of all 8 atoms:
Na: 0.000 0.000 0.000
Y: 0.500 0.500 0.000
Sn: 0.000 0.500 0.500
Sn: 0.500 0.000 0.500
Te: 0.260 0.000 0.757
Te: 0.260 0.500 0.247
Te: 0.740 0.000 0.243
Te: 0.740 0.500 0.753

=====

- Which of these has the highest raw total energy?
  Pm2Pr3Dy2